Record 1
{
  "formula": "Ni2SnAu2",
  "functional": "PBE",
  "state": "relaxed",
  "lattice": [[6.553, 0.000, 0.000], [0.000, 6.553, 0.000], [0.000, 0.000, 3.806]],
  "species": ["Ni", "Ni", "Ni", "Ni", "Au", "Au", "Au", "Au", "Sn", "Sn"],
  "frac_coords": [[0.368, 0.868, 0.000], [0.868, 0.632, 0.000], [0.632, 0.132, 0.000], [0.132, 0.368, 0.000], [0.161, 0.661, 0.500], [0.661, 0.839, 0.500], [0.839, 0.339, 0.500], [0.339, 0.161, 0.500], [0.000, 0.000, 0.000], [0.500, 0.500, 0.000]],
  "spacegroup": "P4/mbm",
  "e_form_ev_per_atom": -0.023,
  "n_ef_per_ev_atom": 0.625,
  "e_above_lowest_polymorph_ev_per_atom": 0.000
}

Record 2
{
  "formula": "LaAg3S",
  "functional": "PBE",
  "state": "relaxed",
  "lattice": [[-3.752, -0.067, 3.243], [-1.825, -4.056, -2.195], [2.682, -2.854, 3.044]],
  "species": ["S", "Ag", "Ag", "Ag", "La"],
  "frac_coords": [[0.000, 0.000, 0.000], [0.000, 0.500, 0.000], [0.000, 0.000, 0.500], [0.500, 0.000, 0.000], [0.500, 0.500, 0.500]],
  "e_form_raw_kcal_per_mol_atoms": 3.33,
  "spacegroup": "Pm-3m",
  "n_ef_per_ev_atom": 0.620,
  "e_above_lowest_polymorph_ev_per_atom": 0.000
}